# Tb6DyY2Ho3

A relaxed Tb6DyY2Ho3 crystal (PBE, Alexandria via LeMat-Bulk).

Unit cell a=6.1506 b=6.1506 c=11.7637 alpha=94.97 beta=94.97 gamma=119.95
Sites, in units of the cell vectors:
Ho  0.5000  0.5000  0.5000
Ho  0.1667  0.8333  0.5000
Ho  0.8333  0.1667  0.5000
Tb  0.9157  0.5831  0.7488
Tb  0.7516  0.7516  0.2512
Tb  0.5831  0.9157  0.7488
Tb  0.0843  0.4169  0.2512
Tb  0.4169  0.0843  0.2512
Tb  0.2484  0.2484  0.7488
Y  0.3333  0.6667  0.0000
Y  0.6667  0.3333  0.0000
Dy  0.0000  0.0000  0.0000

formation enthalpy at 0 K = 0.0168 eV per atom
total DFT energy (no corrections) = -4.90 eV/atom
symmetry = No. 12